Below is a relaxed TlCr2Os crystal, with properties calculated at the GGA-PBE level.

Cell lengths 4.5728, 4.5728, 3.0142 Å; angles 90.00, 90.00, 90.00 degrees
Fractional positions:
Tl  0.0000  0.0000  0.0000
Cr  0.0000  0.5000  0.5000
Cr  0.5000  0.0000  0.5000
Os  0.5000  0.5000  0.0000

Results
- Fermi-level density of states: 5.9 states/eV per cell
- Calculated density: 13.14 g cm⁻³
- E above lowest polymorph: 24.2 kJ per mole of atoms
- SG: P4/mmm (123)

Below is a relaxed AgP2Br crystal, with properties calculated at the GGA-PBE level.

Cell lengths 5.0306, 5.0306, 2.9510 Å; angles 90.00, 90.00, 90.00 degrees
Fractional positions:
Ag  0.0000  0.0000  0.0000
P  0.0000  0.5000  0.5000
P  0.5000  0.0000  0.5000
Br  0.5000  0.5000  0.0000

Results
- Fermi-level density of states: 3.1 states/eV per cell
- Energy relative to the elements, uncorrected: 0.868 eV per atom
- Calculated density: 5.55 g cm⁻³
- E above lowest polymorph: 81.6 kJ per mole of atoms
- SG: P4/mmm (123)

Below is a relaxed SmAl12Ag4 crystal, with properties calculated at the GGA-PBE level.

Cell lengths 7.7451, 7.7451, 7.7451 Å; angles 109.47, 109.47, 109.47 degrees
Fractional positions:
Sm  0.0000  0.0000  0.0000
Al  0.1522  0.3511  0.5033
Al  0.1522  0.6489  0.8011
Al  0.1989  0.8478  0.3511
Al  0.3511  0.1989  0.8478
Al  0.3511  0.5033  0.1522
Al  0.4967  0.8478  0.6489
Al  0.5033  0.1522  0.3511
Al  0.6489  0.4967  0.8478
Al  0.6489  0.8011  0.1522
Al  0.8011  0.1522  0.6489
Al  0.8478  0.3511  0.1989
Al  0.8478  0.6489  0.4967
Ag  0.0000  0.0000  0.5000
Ag  0.0000  0.5000  0.0000
Ag  0.5000  0.0000  0.0000
Ag  0.5000  0.5000  0.5000

Results
- Fermi-level density of states: 7.1 states/eV per cell
- Calculated density: 4.20 g cm⁻³
- Total energy: -3.42 eV/atom
- SG: Im-3 (204)

Below is a relaxed SrBePb2 crystal, with properties calculated at the GGA-PBE level.

Cell lengths 5.3419, 4.2361, 5.3601 Å; angles 90.00, 107.14, 90.00 degrees
Fractional positions:
Sr  0.0000  0.0000  0.0000
Be  0.5000  0.0000  0.5000
Pb  0.3192  0.5000  0.6813
Pb  0.6808  0.5000  0.3187

Results
- Fermi-level density of states: 1.4 states/eV per cell
- Calculated density: 7.32 g cm⁻³
- Total energy: -3.18 eV/atom
- SG: P2/m (10)

Below is a relaxed Tm6Fe2Si crystal, with properties calculated at the GGA-PBE level.

Cell lengths 8.1361, 8.1361, 8.1361 Å; angles 110.85, 110.67, 106.92 degrees
Fractional positions:
Tm  0.0298  0.2342  0.7956
Tm  0.1837  0.2784  0.4621
Tm  0.1837  0.7216  0.9053
Tm  0.3185  0.0204  0.7019
Tm  0.3185  0.6166  0.2981
Tm  0.4386  0.2342  0.2044
Tm  0.5614  0.7658  0.7956
Tm  0.6815  0.3834  0.7019
Tm  0.6815  0.9796  0.2981
Tm  0.8163  0.2784  0.0947
Tm  0.8163  0.7216  0.5379
Tm  0.9702  0.7658  0.2044
Fe  0.1110  0.6110  0.5000
Fe  0.3794  0.0000  0.3794
Fe  0.6206  0.0000  0.6206
Fe  0.8890  0.3890  0.5000
Si  0.0000  0.0000  0.0000
Si  0.5000  0.5000  0.0000

Results
- Fermi-level density of states: 18.3 states/eV per cell
- Energy relative to the elements, uncorrected: -0.215 eV per atom
- Calculated density: 9.25 g cm⁻³
- SG: Immm (71)

Below is a relaxed CaYCuPd crystal, with properties calculated at the GGA-PBE level.

Cell lengths 7.0328, 7.0328, 7.0328 Å; angles 90.00, 90.00, 90.00 degrees
Fractional positions:
Ca  0.0000  0.0000  0.0000
Ca  0.0000  0.5000  0.5000
Ca  0.5000  0.0000  0.5000
Ca  0.5000  0.5000  0.0000
Y  0.0000  0.0000  0.5000
Y  0.0000  0.5000  0.0000
Y  0.5000  0.0000  0.0000
Y  0.5000  0.5000  0.5000
Cu  0.2500  0.2500  0.2500
Cu  0.2500  0.7500  0.7500
Cu  0.7500  0.2500  0.7500
Cu  0.7500  0.7500  0.2500
Pd  0.2500  0.2500  0.7500
Pd  0.2500  0.7500  0.2500
Pd  0.7500  0.2500  0.2500
Pd  0.7500  0.7500  0.7500

Results
- Fermi-level density of states: 7.2 states/eV per cell
- Calculated density: 5.71 g cm⁻³
- E above lowest polymorph: 3.8 kJ per mole of atoms
- SG: F-43m (216)

Below is a relaxed Gd3Rh crystal, with properties calculated at the GGA-PBE level.

Cell lengths 3.6648, 5.3885, 10.8407 Å; angles 90.00, 90.00, 90.00 degrees
Fractional positions:
Gd  0.0000  0.0000  0.0000
Gd  0.0000  0.5000  0.1979
Gd  0.0000  0.5000  0.8021
Gd  0.5000  0.0000  0.3021
Gd  0.5000  0.0000  0.6979
Gd  0.5000  0.5000  0.5000
Rh  0.0000  0.0000  0.5000
Rh  0.5000  0.5000  0.0000

Results
- Fermi-level density of states: 8.9 states/eV per cell
- Calculated density: 8.91 g cm⁻³
- E above lowest polymorph: 0.0 kJ per mole of atoms
- SG: Immm (71)

Below is a relaxed Th2ZnFeAu crystal, with properties calculated at the GGA-PBE level.

Cell lengths 7.7290, 3.9174, 7.9024 Å; angles 90.00, 112.00, 90.00 degrees
Fractional positions:
Th  0.0146  0.2500  0.2254
Th  0.3510  0.7500  0.6133
Th  0.6490  0.2500  0.3867
Th  0.9854  0.7500  0.7746
Zn  0.3585  0.2500  0.9438
Zn  0.6415  0.7500  0.0562
Fe  0.1148  0.2500  0.6236
Fe  0.8852  0.7500  0.3764
Au  0.3144  0.7500  0.1837
Au  0.6856  0.2500  0.8163

Results
- Fermi-level density of states: 6.3 states/eV per cell
- Calculated density: 11.71 g cm⁻³
- Total energy: -5.95 eV/atom
- SG: P2_1/m (11)

Below is a relaxed SnGe2Pd8 crystal, with properties calculated at the GGA-PBE level.

Cell lengths 7.3544, 7.3544, 7.3544 Å; angles 148.11, 121.78, 67.93 degrees
Fractional positions:
Sn  0.0000  0.0000  0.0000
Ge  0.3197  0.3197  0.0000
Ge  0.6803  0.6803  0.0000
Pd  0.1141  0.8345  0.2796
Pd  0.1473  0.6473  0.5000
Pd  0.3051  0.5000  0.8051
Pd  0.4451  0.1655  0.2796
Pd  0.5549  0.8345  0.7204
Pd  0.6949  0.5000  0.1949
Pd  0.8527  0.3527  0.5000
Pd  0.8859  0.1655  0.7204

Results
- Fermi-level density of states: 5.1 states/eV per cell
- Calculated density: 10.50 g cm⁻³
- E above lowest polymorph: 0.5 kJ per mole of atoms
- SG: Immm (71)

Below is a relaxed BaPbAu crystal, with properties calculated at the GGA-PBE level.

Cell lengths 5.1246, 16.8517, 8.7902 Å; angles 90.00, 90.00, 90.00 degrees
Fractional positions:
Ba  0.2500  0.0043  0.2087
Ba  0.2500  0.2500  0.2941
Ba  0.2500  0.4957  0.2087
Ba  0.2500  0.7500  0.2932
Ba  0.7500  0.2500  0.7068
Ba  0.7500  0.5043  0.7913
Ba  0.7500  0.7500  0.7059
Ba  0.7500  0.9957  0.7913
Pb  0.2500  0.0938  0.5837
Pb  0.2500  0.4062  0.5837
Pb  0.2500  0.6539  0.9180
Pb  0.2500  0.8461  0.9180
Pb  0.7500  0.1539  0.0820
Pb  0.7500  0.3461  0.0820
Pb  0.7500  0.5938  0.4163
Pb  0.7500  0.9062  0.4163
Au  0.2500  0.1379  0.9121
Au  0.2500  0.3621  0.9121
Au  0.2500  0.6020  0.5849
Au  0.2500  0.8980  0.5849
Au  0.7500  0.1020  0.4151
Au  0.7500  0.3980  0.4151
Au  0.7500  0.6379  0.0879
Au  0.7500  0.8621  0.0879

Results
- Fermi-level density of states: 12.1 states/eV per cell
- Calculated density: 9.48 g cm⁻³
- Total energy: -3.57 eV/atom
- SG: Pmmn (59)

Below is a relaxed PmErTaN3 crystal, with properties calculated at the GGA-PBE level.

Cell lengths 6.5330, 3.3301, 9.4498 Å; angles 90.00, 95.18, 90.00 degrees
Fractional positions:
Pm  0.2021  0.2500  0.2421
Pm  0.7979  0.7500  0.7579
Er  0.3399  0.7500  0.8855
Er  0.6601  0.2500  0.1145
Ta  0.1441  0.2500  0.5795
Ta  0.8559  0.7500  0.4205
N  0.1124  0.2500  0.7875
N  0.1996  0.7500  0.4634
N  0.3979  0.7500  0.1232
N  0.6021  0.2500  0.8768
N  0.8004  0.2500  0.5366
N  0.8876  0.7500  0.2125

Results
- Fermi-level density of states: 4.5 states/eV per cell
- Energy relative to the elements, uncorrected: -1.123 eV per atom
- Calculated density: 8.68 g cm⁻³
- SG: P2_1/m (11)

Below is a relaxed Ba2ScTc crystal, with properties calculated at the GGA-PBE level.

Cell lengths 3.7592, 3.7592, 9.5385 Å; angles 90.00, 90.00, 90.00 degrees
Fractional positions:
Ba  0.0000  0.0000  0.0000
Ba  0.5000  0.5000  0.4035
Sc  0.0000  0.0000  0.6613
Tc  0.5000  0.5000  0.7550

Results
- Fermi-level density of states: 5.1 states/eV per cell
- Calculated density: 5.14 g cm⁻³
- E above lowest polymorph: 1.1 kJ per mole of atoms
- SG: P4mm (99)